Record 1
Here is MnCo4S8 after structural relaxation from Alexandria. Energies are from PBE.

Geometry as POSCAR:
```
MnCo4S8
1.0
6.527 0.013 -1.544
-3.777 5.352 -1.441
-0.369 -0.690 6.001
S Mn Co
8 1 4
Direct
0.697 0.523 0.221 S
0.303 0.477 0.779 S
0.797 0.962 0.759 S
0.806 0.474 0.768 S
0.706 0.038 0.232 S
0.194 0.526 0.232 S
0.203 0.038 0.241 S
0.294 0.962 0.768 S
0.000 0.500 0.500 Mn
0.765 0.765 0.000 Co
0.235 0.235 0.000 Co
0.261 0.769 0.030 Co
0.739 0.231 0.970 Co
```

Results
Raw total energy (eV per atom): -5.8366
Formation energy (no corrections) (eV/atom): -0.4049
Total magnetization (μB per atom): 0.21
DOS(E_F) (states/eV per atom): 0.44

---

Record 2
Here is Th2Cd5Hg after structural relaxation from Alexandria. Energies are from PBE.

Geometry as POSCAR:
```
Th2Cd5Hg
1.0
4.644 0.000 0.000
-2.322 8.843 0.000
0.000 0.000 9.970
Th Cd Hg
4 10 2
Direct
0.192 0.385 0.250 Th
0.000 0.000 0.500 Th
0.808 0.615 0.750 Th
0.000 0.000 0.000 Th
0.806 0.612 0.104 Cd
0.391 0.782 0.250 Cd
0.357 0.713 0.528 Cd
0.194 0.388 0.896 Cd
0.357 0.713 0.972 Cd
0.194 0.388 0.604 Cd
0.806 0.612 0.396 Cd
0.643 0.287 0.472 Cd
0.609 0.218 0.750 Cd
0.643 0.287 0.028 Cd
0.454 0.908 0.750 Hg
0.546 0.092 0.250 Hg
```

Results
Raw total energy (eV per atom): -2.5644
Energy relative to the elements (eV per atom): -0.10
Total magnetization (μB per atom): 0.00
DOS(E_F) (states/eV per atom): 1.05

---

Record 3
Here is RbLiCr2Cl8 after structural relaxation from Alexandria. Energies are from PBE.

Geometry as POSCAR:
```
RbLiCr2Cl8
1.0
6.652 0.000 0.000
-3.326 5.760 0.000
0.000 0.000 9.096
Cl Cr Li Rb
8 2 1 1
Direct
0.677 0.702 0.674 Cl
0.025 0.323 0.674 Cl
0.667 0.333 0.031 Cl
0.323 0.298 0.326 Cl
0.702 0.025 0.326 Cl
0.298 0.975 0.674 Cl
0.333 0.667 0.969 Cl
0.975 0.677 0.326 Cl
0.667 0.333 0.271 Cr
0.333 0.667 0.729 Cr
0.000 0.000 0.500 Li
0.000 0.000 0.000 Rb
```

Results
Raw total energy (eV per atom): -4.2767
Formation energy (no corrections) (eV/atom): -1.2016
Total magnetization (μB per atom): 0.50
DOS(E_F) (states/eV per atom): 0.96